VGeF3 | GGA+U | relaxed

Results
Density of states at the Fermi level = 2.202 states/eV/cell
V = 73.1 Å³/cell
Calculated total energy = -5.268 eV per atom
Space-group type = No. 221
Offset from the most stable computed form = 0 meV/atom

Lattice parameters (Å, degrees): 4.1815 4.1815 4.1815 90.00 90.00 90.00
With the nearest neighbours (Å) after each atom.
Fractional coordinates of all 5 atoms:
F  0.5000  0.0000  0.0000  2 V 2.09
F  0.0000  0.0000  0.5000  2 V 2.09
F  0.0000  0.5000  0.0000  2 V 2.09
V  0.0000  0.0000  0.0000  6 F 2.09
Ge  0.5000  0.5000  0.5000  12 F 2.96